The following is a DFT calculation (PBE-GGA) of crystalline LaPaSe3 at its relaxed geometry.

Cell lengths 4.159, 7.819, 16.369 Å; angles 90.00, 90.00, 90.00 degrees
Site moments in Bohr magnetons follow the coordinates.
Atoms (fractional coordinates):
Se1 0.250 0.674 0.717  -0.01
Pa1 0.250 0.764 0.541  1.25
Se2 0.750 0.996 0.601  -0.03
Pa2 0.750 0.736 0.041  1.25
La1 0.750 0.391 0.702  0.07
Se3 0.250 0.378 0.565  -0.03
Se4 0.750 0.826 0.217  -0.01
Se5 0.250 0.174 0.783  -0.01
Se6 0.250 0.004 0.399  -0.03
Se7 0.750 0.622 0.435  -0.03
Pa3 0.250 0.264 0.959  1.25
La2 0.250 0.609 0.298  0.07
La3 0.250 0.109 0.202  0.07
Pa4 0.750 0.236 0.459  1.25
Se8 0.750 0.496 0.899  -0.03
Se9 0.750 0.122 0.065  -0.03
La4 0.750 0.891 0.798  0.07
Se10 0.750 0.326 0.283  -0.01
Se11 0.250 0.878 0.935  -0.03
Se12 0.250 0.504 0.101  -0.03

- formation energy from raw total energies (eV/atom) = -1.679
- spin magnetization (μB per cell) = 6.5
- DOS(E_F) (states/eV/cell) = 21.2
- relative energy among the computed polymorphs (meV per atom) = 0
- final energy (eV/atom) = -6.655